A plane-wave DFT calculation with GGA-PBE was carried out for a geometry-optimized AcPmDyHo2 structure.

For the formation energy, the calculation gives 0.385 eV/atom. As for the density of states at the Fermi level: 8.8 states/eV/f.u. The value obtained for the raw total energy is -4.138 eV/atom. Its total magnetization is 0.00 μB/f.u.

a b c (Å): 6.4676 17.5373 6.4689
angles (deg): 90.00 90.00 90.00
Last column: nearest neighbours and their distance in Å.
Space group Cmcm (No. 63)
Symmetry-distinct sites (fractional):
Ac 0.0000 0.1594 0.2500 x4  1 Pm 3.31, 4 Dy 3.59-3.61, 4 Ho 3.62
Pm 0.0000 0.3481 0.2500 x4  1 Ac 3.31, 4 Ho 3.51, 4 Dy 3.65-3.67
Dy 0.0000 0.2487 0.7500 x4  4 Ac 3.59-3.61, 4 Pm 3.65-3.67
Ho 0.2486 0.5000 0.0000 x8  4 Ho 3.22-3.25, 2 Pm 3.51